Computed, not measured: crystalline Ba3MnGa2O8 at its relaxed geometry at the GGA+U level of DFT.

Output
Total energy, eV per atom: -6.3234
Magnetic moment, μB/cell: 2.93

POSCAR file:
```
Ba3MnGa2O8
1.0
-4.7438 1.3791 2.9339
0.7790 -5.3894 -1.8333
3.4609 -1.6704 6.3811
Ba Mn Ga O
3 1 2 8
direct
0.3333 0.6667 0.6647
0.6667 0.3333 0.3353
0.0000 0.0000 0.0000
0.0000 0.0000 0.5000
0.3333 0.6667 0.2369
0.6667 0.3333 0.7631
0.3333 0.6667 0.9988
0.6667 0.3333 0.0012
0.1588 0.8412 0.3392
0.8412 0.1588 0.6609
0.1588 0.3176 0.3392
0.8412 0.6824 0.6609
0.6824 0.8412 0.3392
0.3176 0.1588 0.6609
```

***

Computed, not measured: crystalline BaMn2GaO8 at its relaxed geometry at the GGA+U level of DFT.

Output
Total energy, eV per atom: -6.3139
Magnetic moment, μB/cell: 3.00

POSCAR file:
```
BaMn2GaO8
1.0
-1.4988 4.7470 1.5099
-2.2324 -4.2152 2.0756
5.1882 -0.0831 5.4114
Ba Mn Ga O
1 2 1 8
direct
0.0000 0.0000 0.0000
0.6667 0.3333 0.2733
0.3333 0.6667 0.7267
0.0000 0.0000 0.5000
0.3333 0.6667 0.9499
0.3231 0.2639 0.3354
0.7361 0.0592 0.3354
0.6667 0.3333 0.0501
0.2639 0.9408 0.6646
0.6769 0.7361 0.6646
0.0592 0.3231 0.6646
0.9408 0.6769 0.3354
```